Record 1
# CaCr6O4F4, optimized geometry, DFT PBE with a Hubbard U
data_CaCr6O4F4
_symmetry_space_group_name_H-M 'P 1'
_symmetry_Int_Tables_number 1
_cell_length_a 5.646
_cell_length_b 5.907
_cell_length_c 6.719
_cell_angle_alpha 93.80
_cell_angle_beta 92.75
_cell_angle_gamma 96.47
loop_
_symmetry_equiv_pos_as_xyz
'x,y,z'
loop_
_atom_site_label
_atom_site_type_symbol
_atom_site_fract_x
_atom_site_fract_y
_atom_site_fract_z
_atom_site_occupancy
Ca1 Ca 0.000 0.000 0.000 1
Cr1 Cr 0.225 0.945 0.609 1
Cr2 Cr 0.438 0.432 0.531 1
Cr3 Cr 0.488 0.449 0.022 1
Cr4 Cr 0.682 0.904 0.408 1
Cr5 Cr 0.954 0.463 0.271 1
Cr6 Cr 0.987 0.465 0.771 1
O1 O 0.146 0.608 0.527 1
O2 O 0.272 0.264 0.771 1
O3 O 0.630 0.582 0.302 1
O4 O 0.807 0.314 0.001 1
F1 F 0.210 0.227 0.246 1
F2 F 0.229 0.691 0.040 1
F3 F 0.711 0.224 0.540 1
F4 F 0.767 0.729 0.796 1
# crystal system	triclinic
# total energy	-6.830	eV/atom
# total moment	25.74	Bohr magnetons per cell
# mass density	3.68	g cm⁻³

Record 2
# CaCrPF2, optimized geometry, DFT PBE with a Hubbard U
data_CaCrPF2
_symmetry_space_group_name_H-M 'P 4/m m m'
_symmetry_Int_Tables_number 123
_symmetry_space_group_name_Hall '-P 4 2'
_cell_length_a 4.104
_cell_length_b 4.104
_cell_length_c 8.451
_cell_angle_alpha 90.00
_cell_angle_beta 90.00
_cell_angle_gamma 90.00
loop_
_atom_site_label
_atom_site_type_symbol
_atom_site_fract_x
_atom_site_fract_y
_atom_site_fract_z
_atom_site_occupancy
Ca1 Ca 0.000 0.000 0.000 1
Cr1 Cr 0.000 0.000 0.500 1
P1 P 0.500 0.500 0.500 1
F1 F 0.000 0.500 0.000 1
# crystal system	tetragonal
# total energy	-5.301	eV/atom
# total moment	3.00	Bohr magnetons per cell
# mass density	1.88	g cm⁻³

Record 3
# Ca2CrPbF8, optimized geometry, DFT PBE with a Hubbard U
data_Ca2CrPbF8
_symmetry_space_group_name_H-M 'P -1'
_symmetry_Int_Tables_number 2
_cell_length_a 4.027
_cell_length_b 5.625
_cell_length_c 7.923
_cell_angle_alpha 86.26
_cell_angle_beta 89.56
_cell_angle_gamma 86.12
loop_
_symmetry_equiv_pos_as_xyz
'x,y,z'
'-x,-y,-z'
loop_
_atom_site_label
_atom_site_type_symbol
_atom_site_fract_x
_atom_site_fract_y
_atom_site_fract_z
_atom_site_occupancy
Ca1 Ca 0.012 0.012 0.241 1
Cr1 Cr 0.500 0.500 0.000 1
Pb1 Pb 0.500 0.500 0.500 1
F1 F 0.001 0.231 0.486 1
F2 F 0.086 0.742 0.014 1
F3 F 0.443 0.300 0.219 1
F4 F 0.468 0.188 0.745 1
# crystal system	triclinic
# total energy	-5.694	eV/atom
# total moment	4.00	Bohr magnetons per cell
# mass density	4.57	g cm⁻³

Record 4
# CaCrSbF2, optimized geometry, DFT PBE with a Hubbard U
data_CaCrSbF2
_symmetry_space_group_name_H-M 'P 4/m m m'
_symmetry_Int_Tables_number 123
_symmetry_space_group_name_Hall '-P 4 2'
_cell_length_a 4.200
_cell_length_b 4.200
_cell_length_c 8.308
_cell_angle_alpha 90.00
_cell_angle_beta 90.00
_cell_angle_gamma 90.00
loop_
_atom_site_label
_atom_site_type_symbol
_atom_site_fract_x
_atom_site_fract_y
_atom_site_fract_z
_atom_site_occupancy
Ca1 Ca 0.000 0.000 0.000 1
Cr1 Cr 0.000 0.000 0.500 1
Sb1 Sb 0.500 0.500 0.500 1
F1 F 0.000 0.500 0.000 1
# crystal system	tetragonal
# total energy	-5.206	eV/atom
# total moment	3.16	Bohr magnetons per cell
# mass density	2.85	g cm⁻³

Record 5
# CaCrSnF6, optimized geometry, DFT PBE with a Hubbard U
data_CaCrSnF6
_symmetry_space_group_name_H-M 'P -3 1 c'
_symmetry_Int_Tables_number 163
_symmetry_space_group_name_Hall '-P 3 2c'
_cell_length_a 5.8100
_cell_length_b 5.8100
_cell_length_c 10.0302
_cell_angle_alpha 90.00
_cell_angle_beta 90.00
_cell_angle_gamma 120.00
loop_
_atom_site_label
_atom_site_type_symbol
_atom_site_fract_x
_atom_site_fract_y
_atom_site_fract_z
_atom_site_occupancy
Ca1 Ca 0.3333 0.6667 0.2500 1
Cr1 Cr 0.3333 0.6667 0.7500 1
Sn1 Sn 0.0000 0.0000 0.0000 1
F1 F 0.0198 0.3581 0.6371 1
# crystal system	trigonal
# total energy	-5.545	eV/atom
# total moment	8.00	Bohr magnetons per cell
# mass density	3.68	g cm⁻³

Record 6
# SrCaCr2F8, optimized geometry, DFT PBE with a Hubbard U
data_SrCaCr2F8
_symmetry_space_group_name_H-M 'P -3 m 1'
_symmetry_Int_Tables_number 164
_symmetry_space_group_name_Hall '-P 3 2"'
_cell_length_a 6.3578
_cell_length_b 6.3578
_cell_length_c 6.9201
_cell_angle_alpha 90.00
_cell_angle_beta 90.00
_cell_angle_gamma 120.00
loop_
_atom_site_label
_atom_site_type_symbol
_atom_site_fract_x
_atom_site_fract_y
_atom_site_fract_z
_atom_site_occupancy
Sr1 Sr 0.0000 0.0000 0.0000 1
Ca1 Ca 0.0000 0.0000 0.5000 1
Cr1 Cr 0.3333 0.6667 0.2057 1
F1 F 0.1491 0.2981 0.2734 1
F2 F 0.3333 0.6667 0.9319 1
# crystal system	trigonal
# total energy	-5.798	eV/atom
# total moment	8.00	Bohr magnetons per cell
# mass density	2.63	g cm⁻³

Record 7
# SrCaCrF7, optimized geometry, DFT PBE with a Hubbard U
data_SrCaCrF7
_symmetry_space_group_name_H-M 'P n m a'
_symmetry_Int_Tables_number 62
_cell_length_a 8.077
_cell_length_b 7.405
_cell_length_c 10.003
_cell_angle_alpha 90.00
_cell_angle_beta 90.00
_cell_angle_gamma 90.00
loop_
_symmetry_equiv_pos_as_xyz
'x,y,z'
'-x,-y,-z'
'-x+1/2,-y,z+1/2'
'x+1/2,y,-z+1/2'
'x+1/2,-y+1/2,-z+1/2'
'-x+1/2,y+1/2,z+1/2'
'-x,y+1/2,-z'
'x,-y+1/2,z'
loop_
_atom_site_label
_atom_site_type_symbol
_atom_site_fract_x
_atom_site_fract_y
_atom_site_fract_z
_atom_site_occupancy
Sr1 Sr 0.194 0.250 0.106 1
Ca1 Ca 0.122 0.750 0.257 1
Cr1 Cr 0.184 0.250 0.445 1
F1 F 0.038 0.750 0.477 1
F2 F 0.105 0.750 0.858 1
F3 F 0.118 0.065 0.316 1
F4 F 0.122 0.250 0.859 1
F5 F 0.239 0.576 0.078 1
# crystal system	orthorhombic
# total energy	-5.909	eV/atom
# total moment	12.00	Bohr magnetons per cell
# mass density	3.47	g cm⁻³

Record 8
# CaCrTcF2, optimized geometry, DFT PBE with a Hubbard U
data_CaCrTcF2
_symmetry_space_group_name_H-M 'P 4/m m m'
_symmetry_Int_Tables_number 123
_symmetry_space_group_name_Hall '-P 4 2'
_cell_length_a 3.999
_cell_length_b 3.999
_cell_length_c 7.254
_cell_angle_alpha 90.00
_cell_angle_beta 90.00
_cell_angle_gamma 90.00
loop_
_atom_site_label
_atom_site_type_symbol
_atom_site_fract_x
_atom_site_fract_y
_atom_site_fract_z
_atom_site_occupancy
Ca1 Ca 0.000 0.000 0.000 1
Cr1 Cr 0.500 0.500 0.500 1
Tc1 Tc 0.000 0.000 0.500 1
F1 F 0.000 0.500 0.000 1
# crystal system	tetragonal
# total energy	-4.809	eV/atom
# total moment	0.59	Bohr magnetons per cell
# mass density	3.26	g cm⁻³

Record 9
# CaTl2CrF6, optimized geometry, DFT PBE with a Hubbard U
data_CaTl2CrF6
_symmetry_space_group_name_H-M 'I 4/m m m'
_symmetry_Int_Tables_number 139
_symmetry_space_group_name_Hall '-I 4 2'
_cell_length_a 6.312
_cell_length_b 6.312
_cell_length_c 8.569
_cell_angle_alpha 90.00
_cell_angle_beta 90.00
_cell_angle_gamma 90.00
loop_
_atom_site_label
_atom_site_type_symbol
_atom_site_fract_x
_atom_site_fract_y
_atom_site_fract_z
_atom_site_occupancy
Ca1 Ca 0.000 0.000 0.000 1
Tl1 Tl 0.000 0.500 0.250 1
Cr1 Cr 0.000 0.000 0.500 1
F1 F 0.000 0.000 0.264 1
F2 F 0.247 0.247 0.500 1
# crystal system	tetragonal
# total energy	-5.202	eV/atom
# total moment	8.00	Bohr magnetons per cell
# mass density	5.98	g cm⁻³

Record 10
# CaTlCrF6, optimized geometry, DFT PBE with a Hubbard U
data_CaTlCrF6
_symmetry_space_group_name_H-M 'I m m a'
_symmetry_Int_Tables_number 74
_symmetry_space_group_name_Hall '-I 2b 2'
_cell_length_a 7.497
_cell_length_b 7.708
_cell_length_c 10.278
_cell_angle_alpha 90.00
_cell_angle_beta 90.00
_cell_angle_gamma 90.00
loop_
_atom_site_label
_atom_site_type_symbol
_atom_site_fract_x
_atom_site_fract_y
_atom_site_fract_z
_atom_site_occupancy
Ca1 Ca 0.000 0.000 0.000 1
Tl1 Tl 0.000 0.250 0.393 1
Cr1 Cr 0.250 0.250 0.750 1
F1 F 0.000 0.250 0.108 1
F2 F 0.000 0.250 0.803 1
F3 F 0.230 0.073 0.618 1
# crystal system	orthorhombic
# total energy	-5.504	eV/atom
# total moment	12.00	Bohr magnetons per cell
# mass density	4.59	g cm⁻³